# PBE-GGA CoOs2Pb, relaxed
data_CoOs2Pb
_space_group_name_H-M_alt 'P 1'
_space_group_IT_number 1
_space_group_name_Hall 'P 1'
_cell_length_a 4.673
_cell_length_b 4.673
_cell_length_c 5.022
_cell_angle_alpha 80.11
_cell_angle_beta 80.11
_cell_angle_gamma 36.37
loop_
_atom_site_label
_atom_site_type_symbol
_atom_site_fract_x
_atom_site_fract_y
_atom_site_fract_z
_atom_site_occupancy
Co1 Co 0.250 0.250 0.250 1
Os1 Os 0.983 0.983 0.047 1
Os2 Os 0.517 0.517 0.453 1
Pb1 Pb 0.750 0.750 0.750 1
# Space group ... C2/m (12)
# Total energy ... -7.602 eV/atom
# Theoretical density ... 16790 kg/m3
# Formation enthalpy at 0 K ... 0.717 eV/atom
# Total magnetization ... 1.13 μB per cell

=====

# PBE-GGA CoOs4Pb, relaxed
data_CoOs4Pb
_space_group_name_H-M_alt 'P 1'
_space_group_IT_number 1
_space_group_name_Hall 'P 1'
_cell_length_a 5.239
_cell_length_b 5.239
_cell_length_c 5.239
_cell_angle_alpha 60.00
_cell_angle_beta 60.00
_cell_angle_gamma 60.00
loop_
_atom_site_label
_atom_site_type_symbol
_atom_site_fract_x
_atom_site_fract_y
_atom_site_fract_z
_atom_site_occupancy
Co1 Co 0.000 0.000 0.000 1
Os1 Os 0.626 0.626 0.123 1
Os2 Os 0.626 0.123 0.626 1
Os3 Os 0.626 0.626 0.626 1
Os4 Os 0.123 0.626 0.626 1
Pb1 Pb 0.250 0.250 0.250 1
# Space group ... F-43m (216)
# Total energy ... -8.221 eV/atom
# Theoretical density ... 16773 kg/m3
# Formation enthalpy at 0 K ... 1.068 eV/atom
# Total magnetization ... 4.14 μB per cell

=====

> Which of these has the highest theoretical density?

CoOs2Pb

=====

What did the first record say?
# PBE-GGA CoOs2Pb, relaxed
data_CoOs2Pb
_space_group_name_H-M_alt 'P 1'
_space_group_IT_number 1
_space_group_name_Hall 'P 1'
_cell_length_a 4.673
_cell_length_b 4.673
_cell_length_c 5.022
_cell_angle_alpha 80.11
_cell_angle_beta 80.11
_cell_angle_gamma 36.37
loop_
_atom_site_label
_atom_site_type_symbol
_atom_site_fract_x
_atom_site_fract_y
_atom_site_fract_z
_atom_site_occupancy
Co1 Co 0.250 0.250 0.250 1
Os1 Os 0.983 0.983 0.047 1
Os2 Os 0.517 0.517 0.453 1
Pb1 Pb 0.750 0.750 0.750 1
# Space group ... C2/m (12)
# Total energy ... -7.602 eV/atom
# Theoretical density ... 16790 kg/m3
# Formation enthalpy at 0 K ... 0.717 eV/atom
# Total magnetization ... 1.13 μB per cell

=====

> Which of these has the lowest total magnetization?

CoOs2Pb

=====

> Which value of theoretical density does entry 1 give?

16790 kg/m3